1.
# Pr3NdI2N2 (PBE, relaxed)
# - SG = P3m1, No. 156
# - VASP energy (eV per atom) = -6.07
data_Pr3NdI2N2
_chemical_formula_sum 'Pr3 Nd1 I2 N2'
_cell_length_a 3.8218
_cell_length_b 3.8218
_cell_length_c 15.3119
_cell_angle_alpha 90.00
_cell_angle_beta 90.00
_cell_angle_gamma 120.00
_symmetry_space_group_name_H-M 'P 1'
_symmetry_Int_Tables_number 1
loop_
_symmetry_equiv_pos_as_xyz
'x,y,z'
loop_
_atom_site_label
_atom_site_type_symbol
_atom_site_fract_x
_atom_site_fract_y
_atom_site_fract_z
Nd1 Nd 0.0000 0.0000 0.9145
N1 N 0.3333 0.6667 0.5007
N2 N 0.3333 0.6667 0.9964
Pr1 Pr 0.0000 0.0000 0.5873
Pr2 Pr 0.6667 0.3333 0.0857
Pr3 Pr 0.6667 0.3333 0.4140
I1 I 0.6667 0.3333 0.7520
I2 I 0.0000 0.0000 0.2493

=====

2.
# NdPuI3N (PBE, relaxed)
# - SG = C2/m, No. 12
# - VASP energy (eV per atom) = -6.61
data_NdPuI3N
_chemical_formula_sum 'Nd2 Pu2 I6 N2'
_cell_length_a 10.3570
_cell_length_b 10.3570
_cell_length_c 12.6318
_cell_angle_alpha 125.34
_cell_angle_beta 125.34
_cell_angle_gamma 22.38
_symmetry_space_group_name_H-M 'P 1'
_symmetry_Int_Tables_number 1
loop_
_symmetry_equiv_pos_as_xyz
'x,y,z'
loop_
_atom_site_label
_atom_site_type_symbol
_atom_site_fract_x
_atom_site_fract_y
_atom_site_fract_z
Nd1 Nd 0.5708 0.5708 0.4622
Nd2 Nd 0.4292 0.4292 0.5378
I1 I 0.3306 0.3306 0.9949
I2 I 0.9653 0.9653 0.7608
I3 I 0.6694 0.6694 0.0051
I4 I 0.7803 0.7803 0.3710
I5 I 0.2197 0.2197 0.6290
I6 I 0.0347 0.0347 0.2392
N1 N 0.4254 0.4254 0.3454
N2 N 0.5746 0.5746 0.6546
Pu1 Pu 0.8716 0.8716 0.2291
Pu2 Pu 0.1284 0.1284 0.7709

=====

3.
# NdSmI3N (PBE, relaxed)
# - SG = C2/m, No. 12
# - VASP energy (eV per atom) = -5.19
data_NdSmI3N
_chemical_formula_sum 'Nd2 Sm2 I6 N2'
_cell_length_a 10.4181
_cell_length_b 10.4181
_cell_length_c 12.8289
_cell_angle_alpha 125.65
_cell_angle_beta 125.65
_cell_angle_gamma 22.64
_symmetry_space_group_name_H-M 'P 1'
_symmetry_Int_Tables_number 1
loop_
_symmetry_equiv_pos_as_xyz
'x,y,z'
loop_
_atom_site_label
_atom_site_type_symbol
_atom_site_fract_x
_atom_site_fract_y
_atom_site_fract_z
Nd1 Nd 0.4306 0.4306 0.5370
Nd2 Nd 0.5694 0.5694 0.4630
I1 I 0.0332 0.0332 0.2433
I2 I 0.7824 0.7824 0.3728
I3 I 0.3303 0.3303 0.9931
I4 I 0.6697 0.6697 0.0069
I5 I 0.2176 0.2176 0.6272
I6 I 0.9668 0.9668 0.7567
N1 N 0.4274 0.4274 0.3504
N2 N 0.5726 0.5726 0.6496
Sm1 Sm 0.8685 0.8685 0.2260
Sm2 Sm 0.1315 0.1315 0.7740

=====

Which value of VASP energy does entry 2 give? -6.61 eV per atom

=====

Look up the VASP energy of the first one. -6.07 eV per atom